(1)
A plane-wave DFT calculation with PBE-GGA was carried out for a geometry-optimized Na2SrSnBi2 structure.

V (Å³ per atom): 34.216
Formation energy from the elements (eV/atom): -0.4286

abc: 5.364 8.227 9.303
angles: 90.00 90.00 90.00
Fractional coordinates of all 12 atoms:
Sn1 0.500 0.658 0.310
Bi1 0.500 0.272 0.359
Na1 0.000 0.847 0.843
Bi2 0.500 0.772 0.641
Bi3 0.000 0.247 0.829
Na2 0.500 0.021 0.072
Sr1 0.000 0.501 0.536
Sn2 0.500 0.158 0.690
Na3 0.000 0.347 0.157
Na4 0.500 0.521 0.928
Sr2 0.000 0.001 0.464
Bi4 0.000 0.747 0.171



(2)
A plane-wave DFT calculation with PBE-GGA was carried out for a geometry-optimized NaTbSnBi structure.

V (Å³ per atom): 28.386
Formation energy from the elements (eV/atom): -0.3427

abc: 5.435 5.435 5.435
angles: 60.00 60.00 60.00
Fractional coordinates of all 4 atoms:
Sn1 0.750 0.750 0.750
Bi1 0.250 0.250 0.250
Tb1 0.500 0.500 0.500
Na1 0.000 0.000 0.000